{"formula": "PaMn2FeO6", "functional": "PBE+U", "state": "optimized geometry", "lattice": [[5.582, 0.000, 0.000], [0.000, 5.582, 0.000], [0.000, 0.000, 4.565]], "species": ["Pa", "Mn", "Mn", "Fe", "O", "O", "O", "O", "O", "O"], "fractional_positions": [[0.000, 0.000, 0.000], [0.000, 0.500, 0.360], [0.500, 0.000, 0.360], [0.500, 0.500, 0.017], [0.000, 0.000, 0.533], [0.261, 0.261, 0.115], [0.261, 0.739, 0.115], [0.500, 0.500, 0.600], [0.739, 0.261, 0.115], [0.739, 0.739, 0.115]], "n_ef_per_ev_atom": 0.050, "vol_a3_per_cell": 142, "e_tot_ev_per_atom": -7.803}